# 1
Computed, not measured: CsNa6Tl after structural relaxation at the GGA-PBE level of DFT.

Values from the calculation:
M_tot = 0.0 μB/f.u.
symmetry = R-3m
relative energy among the computed polymorphs = 0 meV/atom
ΔE_f = 0 meV per atom
E = -11.1 eV for the cell shown

Lattice parameters (Å, degrees): 5.7135 5.7135 12.7472 77.05 77.05 60.00
Positions (direct):
Na 0.2721 0.2721 0.1836
Na 0.9108 0.9108 0.2675
Na 0.3635 0.3635 0.9094
Na 0.6365 0.6365 0.0906
Na 0.7279 0.7279 0.8164
Na 0.0892 0.0892 0.7325
Cs 0.5000 0.5000 0.5000
Tl 0.0000 0.0000 0.0000

***

# 2
Computed, not measured: CsNaTl6 after structural relaxation at the GGA-PBE level of DFT.

Values from the calculation:
M_tot = 0.0 μB/f.u.
symmetry = Pmm2
ΔE_f = -42 meV per atom
E = -16.7 eV for the cell shown

Lattice parameters (Å, degrees): 5.2931 6.6640 8.0225 90.00 90.00 90.00
Positions (direct):
Tl 0.5000 0.8735 0.2996
Tl 0.0000 0.1645 0.7059
Tl 0.5000 0.2135 0.0000
Tl 0.0000 0.1645 0.2941
Tl 0.0000 0.6888 0.5000
Tl 0.5000 0.8735 0.7004
Cs 0.0000 0.6425 0.0000
Na 0.5000 0.3792 0.5000

***

# 3
Computed, not measured: CsNa6Tl12 after structural relaxation at the GGA-PBE level of DFT.

Values from the calculation:
M_tot = 0.0 μB/f.u.
symmetry = R-3
relative energy among the computed polymorphs = 0 meV/atom
ΔE_f = -60 meV per atom
E = -38.3 eV for the cell shown

Lattice parameters (Å, degrees): 8.8215 9.2471 9.2471 69.62 71.46 108.54
Positions (direct):
Tl 0.7842 0.2742 0.8723
Tl 0.7356 0.5456 0.3858
Tl 0.2158 0.7258 0.1277
Tl 0.3435 0.1277 0.1465
Tl 0.1215 0.3858 0.0685
Tl 0.8100 0.9315 0.4544
Tl 0.8785 0.6142 0.9315
Tl 0.4901 0.1465 0.7258
Tl 0.6565 0.8723 0.8535
Tl 0.2644 0.4544 0.6142
Tl 0.1900 0.0685 0.5456
Tl 0.5099 0.8535 0.2742
Na 0.6599 0.2149 0.2954
Na 0.9553 0.2954 0.4897
Na 0.4450 0.4897 0.2149
Na 0.0447 0.7046 0.5103
Na 0.5550 0.5103 0.7851
Na 0.3401 0.7851 0.7046
Cs 0.0000 0.0000 0.0000

***

Number 1: density of states at the Fermi level 5.41 states/eV/cell. Number 2: density of states at the Fermi level 5.20 states/eV/cell. Number 3: density of states at the Fermi level 8.21 states/eV/cell.